Entry 1:
A relaxed CaPm3Ho2Te6 crystal, computed with PBE-GGA.

Summary:
Calculated volume: 367.8 Å³ per cell
Energy: -5.08 eV/atom
Magnetic moment: 0.000 Bohr magnetons per cell
Space-group type: C2/m
Formation energy (no corrections): -1389 meV per atom

Unit cell a=4.395 b=8.920 c=9.924 alpha=103.89 beta=102.79 gamma=90.00
Element x y z (fractional)
Te (0.995, 0.752, 0.991)
Te (0.332, 0.425, 0.664)
Te (0.334, 0.912, 0.667)
Te (0.668, 0.575, 0.336)
Te (0.005, 0.248, 0.009)
Te (0.666, 0.088, 0.333)
Ho (0.831, 0.662, 0.662)
Ho (0.169, 0.338, 0.338)
Pm (0.835, 0.175, 0.671)
Pm (0.500, 0.500, 0.000)
Pm (0.165, 0.825, 0.329)
Ca (0.500, 0.000, 0.000)



Entry 2:
A relaxed Ac6Tl2Pt3 crystal, computed with PBE-GGA.

Summary:
Energy of formation: -7.9 eV per formula unit
Calculated volume: 419.9 Å³ per cell
Energy: -5.04 eV/atom
Magnetic moment: 0.000 Bohr magnetons per cell
Space-group type: C2/m

Unit cell a=7.689 b=7.573 c=8.730 alpha=81.71 beta=73.50 gamma=59.50
Element x y z (fractional)
Ac (0.267, 0.000, 0.195)
Ac (0.733, 0.000, 0.805)
Ac (0.403, 0.662, 0.793)
Ac (0.935, 0.662, 0.207)
Ac (0.597, 0.338, 0.207)
Ac (0.065, 0.338, 0.793)
Tl (0.854, 0.292, 0.500)
Tl (0.146, 0.708, 0.500)
Pt (0.669, 0.661, 0.000)
Pt (0.331, 0.339, 0.000)
Pt (0.000, 0.000, 0.000)



Entry 3:
A relaxed Rb2TcCl crystal, computed with PBE-GGA.

Summary:
Calculated volume: 164.3 Å³ per cell
Energy: -3.03 eV/atom
Magnetic moment: 4.000 Bohr magnetons per cell
Space-group type: Fm-3m
Formation energy (no corrections): 507 meV per atom
Offset from the most stable computed form: 0.110 eV per atom

Unit cell a=6.148 b=6.148 c=6.148 alpha=60.00 beta=60.00 gamma=60.00
Last column: magnetic moment on the atom in μB.
Element x y z (fractional)
Rb (0.750, 0.750, 0.750)  0.00
Rb (0.250, 0.250, 0.250)  0.00
Tc (0.500, 0.500, 0.500)  3.38
Cl (0.000, 0.000, 0.000)  0.01



Entry 4:
A relaxed LaRe2P crystal, computed with PBE-GGA.

Summary:
Energy of formation: 1.1 eV per formula unit
Calculated volume: 72.5 Å³ per cell
Energy: -8.54 eV/atom
Magnetic moment: 0.355 Bohr magnetons per cell
Space-group type: R3m

Unit cell a=9.229 b=9.229 c=9.229 alpha=18.96 beta=18.96 gamma=18.96
Last column: magnetic moment on the atom in μB.
Element x y z (fractional)
Re (0.006, 0.006, 0.006)  -0.01
Re (0.263, 0.263, 0.263)  -0.03
P (0.733, 0.733, 0.733)  0.00
La (0.498, 0.498, 0.498)  0.29



Entry 5:
A relaxed PmPr4Mg3 crystal, computed with PBE-GGA.

Summary:
Energy of formation: -0.6 eV per formula unit
Calculated volume: 251.8 Å³ per cell
Energy: -3.66 eV/atom
Magnetic moment: 0.000 Bohr magnetons per cell
Space-group type: P4/mmm

Unit cell a=3.850 b=3.850 c=16.985 alpha=90.00 beta=90.00 gamma=90.00
Element x y z (fractional)
Mg (0.500, 0.500, 0.265)
Mg (0.500, 0.500, 0.500)
Mg (0.500, 0.500, 0.735)
Pm (0.500, 0.500, 0.000)
Pr (0.000, 0.000, 0.852)
Pr (0.000, 0.000, 0.384)
Pr (0.000, 0.000, 0.616)
Pr (0.000, 0.000, 0.148)



Entry 6:
A relaxed HoCd2F6 crystal, computed with PBE-GGA.

Summary:
Calculated volume: 148.1 Å³ per cell
Energy: -4.76 eV/atom
Magnetic moment: 0.000 Bohr magnetons per cell
Space-group type: C2/m
Formation energy (no corrections): -2796 meV per atom

Unit cell a=3.862 b=6.221 c=6.890 alpha=74.48 beta=73.72 gamma=71.91
Element x y z (fractional)
F (0.374, 0.678, 0.573)
F (0.958, 0.821, 0.263)
F (0.219, 0.404, 0.158)
F (0.626, 0.322, 0.427)
F (0.042, 0.179, 0.737)
F (0.781, 0.596, 0.842)
Cd (0.156, 0.789, 0.900)
Cd (0.844, 0.211, 0.100)
Ho (0.000, 0.500, 0.500)



Entry 7:
A relaxed MgRh2Pb crystal, computed with PBE-GGA.

Summary:
Energy of formation: -0.1 eV per formula unit
Calculated volume: 76.3 Å³ per cell
Energy: -5.02 eV/atom
Magnetic moment: 1.066 Bohr magnetons per cell
Space-group type: P4mm

Unit cell a=3.127 b=3.127 c=7.796 alpha=90.00 beta=90.00 gamma=90.00
Last column: magnetic moment on the atom in μB.
Element x y z (fractional)
Rh (0.000, 0.000, 0.035)  0.66
Rh (0.500, 0.500, 0.238)  0.41
Pb (0.500, 0.500, 0.791)  0.00
Mg (0.000, 0.000, 0.436)  0.00



Entry 8:
A relaxed NiPtRh crystal, computed with PBE-GGA.

Summary:
Energy of formation: -0.1 eV per formula unit
Calculated volume: 165.7 Å³ per cell
Energy: -6.41 eV/atom
Magnetic moment: 5.947 Bohr magnetons per cell
Space-group type: C2/c
Offset from the most stable computed form: 0.010 eV per atom

Unit cell a=4.676 b=8.068 c=4.667 alpha=90.00 beta=109.77 gamma=90.00
Last column: magnetic moment on the atom in μB.
Element x y z (fractional)
Ni (0.250, 0.832, 0.250)  0.75
Ni (0.750, 0.168, 0.750)  0.75
Ni (0.750, 0.668, 0.250)  0.75
Ni (0.250, 0.332, 0.750)  0.75
Rh (0.750, 0.829, 0.750)  0.52
Rh (0.250, 0.171, 0.250)  0.52
Rh (0.250, 0.671, 0.750)  0.52
Rh (0.750, 0.329, 0.250)  0.52
Pt (0.250, 0.506, 0.250)  0.26
Pt (0.750, 0.994, 0.250)  0.26
Pt (0.250, 0.006, 0.750)  0.26
Pt (0.750, 0.494, 0.750)  0.26